Entry 1:
Compound: SmAlRu
Source: Alexandria
Functional: GGA-PBE
Structure: optimized geometry

## Properties
Density of states at the Fermi level in states/eV per atom: 0.554
Spin magnetization in μB per atom: 0.000
Formation enthalpy at 0 K in meV/atom: -322

```
data_SmAlRu
_chemical_formula_sum 'Sm16 Al16 Ru16'
_cell_length_a 7.693
_cell_length_b 10.709
_cell_length_c 12.251
_cell_angle_alpha 90.00
_cell_angle_beta 90.00
_cell_angle_gamma 90.00
_space_group_name_H-M_alt 'F d d d'
_space_group_IT_number 70
loop_
_space_group_symop_operation_xyz
'x,y,z'
'-x,-y,-z'
'-x+1/4,-y+1/4,z'
'x+1/4,y+1/4,-z'
'x,-y+1/4,-z+1/4'
'-x,y+1/4,z+1/4'
'-x+1/4,y,-z+1/4'
'x+1/4,-y,z+1/4'
'x,y+1/2,z+1/2'
'-x,-y+1/2,-z+1/2'
'-x+1/4,-y+3/4,z+1/2'
'x+1/4,y+3/4,-z+1/2'
'x,-y+3/4,-z+3/4'
'-x,y+3/4,z+3/4'
'-x+1/4,y+1/2,-z+3/4'
'x+1/4,-y+1/2,z+3/4'
'x+1/2,y,z+1/2'
'-x+1/2,-y,-z+1/2'
'-x+3/4,-y+1/4,z+1/2'
'x+3/4,y+1/4,-z+1/2'
'x+1/2,-y+1/4,-z+3/4'
'-x+1/2,y+1/4,z+3/4'
'-x+3/4,y,-z+3/4'
'x+3/4,-y,z+3/4'
'x+1/2,y+1/2,z'
'-x+1/2,-y+1/2,-z'
'-x+3/4,-y+3/4,z'
'x+3/4,y+3/4,-z'
'x+1/2,-y+3/4,-z+1/4'
'-x+1/2,y+3/4,z+1/4'
'-x+3/4,y+1/2,-z+1/4'
'x+3/4,-y+1/2,z+1/4'
loop_
_atom_site_label
_atom_site_type_symbol
_atom_site_fract_x
_atom_site_fract_y
_atom_site_fract_z
Sm1 Sm 0.000 0.000 0.000
Al1 Al 0.125 0.253 0.625
Ru1 Ru 0.125 0.125 0.454
```

Entry 2:
Compound: SmAlRu
Source: Alexandria
Functional: GGA-PBE
Structure: optimized geometry

## Properties
Density of states at the Fermi level in states/eV per atom: 0.484
Spin magnetization in μB per atom: 0.000
Formation enthalpy at 0 K in meV/atom: -401

```
data_SmAlRu
_chemical_formula_sum 'Sm2 Al2 Ru2'
_cell_length_a 3.287
_cell_length_b 3.287
_cell_length_c 10.915
_cell_angle_alpha 90.00
_cell_angle_beta 90.00
_cell_angle_gamma 90.00
_space_group_name_H-M_alt 'I 4 m m'
_space_group_IT_number 107
_space_group_name_Hall 'I 4 -2'
loop_
_atom_site_label
_atom_site_type_symbol
_atom_site_fract_x
_atom_site_fract_y
_atom_site_fract_z
Sm1 Sm 0.000 0.000 0.000
Al1 Al 0.000 0.000 0.282
Ru1 Ru 0.000 0.000 0.680
```

Entry 3:
Compound: Sm3Al3Ru2
Source: Alexandria
Functional: GGA-PBE
Structure: optimized geometry

## Properties
Density of states at the Fermi level in states/eV per atom: 0.732
Spin magnetization in μB per atom: 0.000
Formation enthalpy at 0 K in meV/atom: -488

```
data_Sm3Al3Ru2
_chemical_formula_sum 'Sm12 Al12 Ru8'
_cell_length_a 7.703
_cell_length_b 15.421
_cell_length_c 5.918
_cell_angle_alpha 90.00
_cell_angle_beta 90.00
_cell_angle_gamma 90.00
_space_group_name_H-M_alt 'P n m a'
_space_group_IT_number 62
loop_
_space_group_symop_operation_xyz
'x,y,z'
'-x,-y,-z'
'-x+1/2,-y,z+1/2'
'x+1/2,y,-z+1/2'
'x+1/2,-y+1/2,-z+1/2'
'-x+1/2,y+1/2,z+1/2'
'-x,y+1/2,-z'
'x,-y+1/2,z'
loop_
_atom_site_label
_atom_site_type_symbol
_atom_site_fract_x
_atom_site_fract_y
_atom_site_fract_z
Sm1 Sm 0.035 0.107 0.102
Sm2 Sm 0.173 0.250 0.626
Al1 Al 0.157 0.035 0.591
Al2 Al 0.173 0.750 0.611
Ru1 Ru 0.138 0.606 0.366
```

Entry 4:
Compound: Sm3Al3Ru
Source: Alexandria
Functional: GGA-PBE
Structure: optimized geometry

## Properties
Density of states at the Fermi level in states/eV per atom: 0.774
Spin magnetization in μB per atom: 0.000
Formation enthalpy at 0 K in meV/atom: -432

```
data_Sm3Al3Ru
_chemical_formula_sum 'Sm12 Al12 Ru4'
_cell_length_a 11.597
_cell_length_b 3.886
_cell_length_c 15.453
_cell_angle_alpha 90.00
_cell_angle_beta 106.25
_cell_angle_gamma 90.00
_space_group_name_H-M_alt 'C 1 2/m 1'
_space_group_IT_number 12
loop_
_space_group_symop_operation_xyz
'x,y,z'
'-x,-y,-z'
'-x,y,-z'
'x,-y,z'
'x+1/2,y+1/2,z'
'-x+1/2,-y+1/2,-z'
'-x+1/2,y+1/2,-z'
'x+1/2,-y+1/2,z'
loop_
_atom_site_label
_atom_site_type_symbol
_atom_site_fract_x
_atom_site_fract_y
_atom_site_fract_z
Sm1 Sm 0.019 0.000 0.388
Sm2 Sm 0.125 0.000 0.921
Sm3 Sm 0.238 0.000 0.242
Al1 Al 0.023 0.500 0.229
Al2 Al 0.095 0.500 0.075
Al3 Al 0.179 0.500 0.534
Ru1 Ru 0.216 0.500 0.373
```

Entry 5:
Compound: Sm4AlRu
Source: Alexandria
Functional: GGA-PBE
Structure: optimized geometry

## Properties
Density of states at the Fermi level in states/eV per atom: 0.747
Spin magnetization in μB per atom: 0.000
Formation enthalpy at 0 K in meV/atom: -303

```
data_Sm4AlRu
_chemical_formula_sum 'Sm64 Al16 Ru16'
_cell_length_a 13.722
_cell_length_b 13.722
_cell_length_c 13.722
_cell_angle_alpha 90.00
_cell_angle_beta 90.00
_cell_angle_gamma 90.00
_space_group_name_H-M_alt 'F -4 3 m'
_space_group_IT_number 216
_space_group_name_Hall 'F -4 2 3'
loop_
_atom_site_label
_atom_site_type_symbol
_atom_site_fract_x
_atom_site_fract_y
_atom_site_fract_z
Sm1 Sm 0.000 0.000 0.189
Sm2 Sm 0.055 0.250 0.750
Sm3 Sm 0.099 0.099 0.401
Al1 Al 0.175 0.175 0.175
Ru1 Ru 0.112 0.112 0.612
```

Entry 6:
Compound: Sm3Al12Ru4
Source: Alexandria
Functional: GGA-PBE
Structure: optimized geometry

## Properties
Density of states at the Fermi level in states/eV per atom: 0.614
Spin magnetization in μB per atom: 0.000
Formation enthalpy at 0 K in meV/atom: -658

```
data_Sm3Al12Ru4
_chemical_formula_sum 'Sm6 Al24 Ru8'
_cell_length_a 8.8461
_cell_length_b 8.8461
_cell_length_c 9.6763
_cell_angle_alpha 90.00
_cell_angle_beta 90.00
_cell_angle_gamma 120.00
_space_group_name_H-M_alt 'P 63/m m c'
_space_group_IT_number 194
_space_group_name_Hall '-P 6c 2c'
loop_
_atom_site_label
_atom_site_type_symbol
_atom_site_fract_x
_atom_site_fract_y
_atom_site_fract_z
Sm1 Sm 0.1928 0.3856 0.2500
Al1 Al 0.0000 0.0000 0.2500
Al2 Al 0.1247 0.5624 0.7500
Al3 Al 0.1628 0.3256 0.5759
Al4 Al 0.3333 0.6667 0.0129
Ru1 Ru 0.0000 0.0000 0.0000
Ru2 Ru 0.0000 0.5000 0.0000
```

Entry 7:
Compound: SmAl2Ru
Source: Alexandria
Functional: GGA-PBE
Structure: optimized geometry

## Properties
Density of states at the Fermi level in states/eV per atom: 0.621
Spin magnetization in μB per atom: 0.000
Formation enthalpy at 0 K in meV/atom: -501

```
data_SmAl2Ru
_chemical_formula_sum 'Sm1 Al2 Ru1'
_cell_length_a 3.152
_cell_length_b 3.152
_cell_length_c 7.400
_cell_angle_alpha 90.00
_cell_angle_beta 90.00
_cell_angle_gamma 90.00
_space_group_name_H-M_alt 'P 4/m m m'
_space_group_IT_number 123
_space_group_name_Hall '-P 4 2'
loop_
_atom_site_label
_atom_site_type_symbol
_atom_site_fract_x
_atom_site_fract_y
_atom_site_fract_z
Sm1 Sm 0.000 0.000 0.000
Al1 Al 0.500 0.500 0.317
Ru1 Ru 0.000 0.000 0.500
```

Entry 8:
Compound: Sm4AlRu
Source: Alexandria
Functional: GGA-PBE
Structure: optimized geometry

## Properties
Density of states at the Fermi level in states/eV per atom: 1.098
Spin magnetization in μB per atom: 0.000
Formation enthalpy at 0 K in meV/atom: -237

```
data_Sm4AlRu
_chemical_formula_sum 'Sm16 Al4 Ru4'
_cell_length_a 8.918
_cell_length_b 13.595
_cell_length_c 6.196
_cell_angle_alpha 90.00
_cell_angle_beta 115.73
_cell_angle_gamma 90.00
_space_group_name_H-M_alt 'C 1 2/c 1'
_space_group_IT_number 15
loop_
_space_group_symop_operation_xyz
'x,y,z'
'-x,-y,-z'
'-x,y,-z+1/2'
'x,-y,z+1/2'
'x+1/2,y+1/2,z'
'-x+1/2,-y+1/2,-z'
'-x+1/2,y+1/2,-z+1/2'
'x+1/2,-y+1/2,z+1/2'
loop_
_atom_site_label
_atom_site_type_symbol
_atom_site_fract_x
_atom_site_fract_y
_atom_site_fract_z
Sm1 Sm 0.115 0.176 0.075
Sm2 Sm 0.215 0.431 0.330
Al1 Al 0.000 0.374 0.750
Ru1 Ru 0.000 0.000 0.250
```

Question: Which formula does entry 6 have?
Answer: Sm3Al12Ru4

Question: Which of these has the lowest formation enthalpy at 0 K?
Answer: Sm3Al12Ru4

Question: Number 5 is which compound?
Answer: Sm4AlRu